No. 1
A relaxed structure of KNbTePdI, computed with PBE-GGA. Values from VASP.

```
&SYSTEM
  ibrav = 0, nat = 5, ntyp = 5
/
ATOMIC_SPECIES
K 39.10 K.upf
Nb 92.91 Nb.upf
Te 127.60 Te.upf
Pd 106.42 Pd.upf
I 126.90 I.upf
ATOMIC_POSITIONS crystal
K 0.758 0.000 0.507
Nb 0.987 0.000 0.012
Te 0.389 0.000 0.834
Pd 0.746 0.500 0.878
I 0.168 0.500 0.288
CELL_PARAMETERS angstrom
-3.291 0.284 3.615
-0.439 -4.255 -0.065
7.089 -0.789 3.787
```

Computed properties:
Total energy (eV/atom): -4.468
Energy above the lowest structure with this stoichiometry (eV/atom): 0.125

No. 2
A relaxed structure of KNbTePdI, computed with PBE-GGA. Values from VASP.

```
&SYSTEM
  ibrav = 0, nat = 5, ntyp = 5
/
ATOMIC_SPECIES
K 39.10 K.upf
Nb 92.91 Nb.upf
Te 127.60 Te.upf
Pd 106.42 Pd.upf
I 126.90 I.upf
ATOMIC_POSITIONS crystal
K 0.333 0.667 0.489
Nb 0.000 0.000 0.061
Te 0.667 0.333 0.232
Pd 0.333 0.667 0.949
I 0.000 0.000 0.749
CELL_PARAMETERS angstrom
-3.684 -0.560 1.800
2.807 -3.040 0.042
3.560 3.403 8.346
```

Computed properties:
Total energy (eV/atom): -4.586
Energy above the lowest structure with this stoichiometry (eV/atom): 0.007

No. 3
A relaxed structure of KNbTePdI, computed with PBE-GGA. Values from VASP.

```
&SYSTEM
  ibrav = 0, nat = 10, ntyp = 5
/
ATOMIC_SPECIES
K 39.10 K.upf
Nb 92.91 Nb.upf
Te 127.60 Te.upf
Pd 106.42 Pd.upf
I 126.90 I.upf
ATOMIC_POSITIONS crystal
K 0.474 0.000 0.060
K 0.474 0.500 0.560
Nb 0.986 0.000 0.152
Nb 0.986 0.500 0.652
Te 0.201 0.000 0.635
Te 0.201 0.500 0.135
Pd 0.074 0.000 0.885
Pd 0.074 0.500 0.385
I 0.745 0.000 0.479
I 0.745 0.500 0.979
CELL_PARAMETERS angstrom
-5.267 -6.728 -4.237
2.742 -0.329 -2.887
5.446 -3.250 5.543
```

Computed properties:
Total energy (eV/atom): -4.577
Energy above the lowest structure with this stoichiometry (eV/atom): 0.016

No. 4
A relaxed structure of KNbTePdI, computed with PBE-GGA. Values from VASP.

```
&SYSTEM
  ibrav = 0, nat = 5, ntyp = 5
/
ATOMIC_SPECIES
K 39.10 K.upf
Nb 92.91 Nb.upf
Te 127.60 Te.upf
Pd 106.42 Pd.upf
I 126.90 I.upf
ATOMIC_POSITIONS crystal
K 0.333 0.667 0.471
Nb 0.000 0.000 0.015
Te 0.667 0.333 0.200
Pd 0.333 0.667 0.079
I 0.000 0.000 0.715
CELL_PARAMETERS angstrom
-2.751 0.746 -3.419
-1.620 -1.442 3.887
-1.092 8.738 2.786
```

Computed properties:
Total energy (eV/atom): -4.593
Energy above the lowest structure with this stoichiometry (eV/atom): 0.000

No. 5
A relaxed structure of KNbTePdI, computed with PBE-GGA. Values from VASP.

```
&SYSTEM
  ibrav = 0, nat = 10, ntyp = 5
/
ATOMIC_SPECIES
K 39.10 K.upf
Nb 92.91 Nb.upf
Te 127.60 Te.upf
Pd 106.42 Pd.upf
I 126.90 I.upf
ATOMIC_POSITIONS crystal
K 0.375 0.000 0.760
K 0.375 0.500 0.260
Nb 0.119 0.000 0.003
Nb 0.119 0.500 0.503
Te 0.000 0.000 0.386
Te 0.000 0.500 0.886
Pd 0.593 0.000 0.479
Pd 0.593 0.500 0.979
I 0.748 0.000 0.131
I 0.748 0.500 0.631
CELL_PARAMETERS angstrom
4.121 0.000 -0.049
0.000 3.938 0.000
-3.897 0.000 17.259
```

Computed properties:
Total energy (eV/atom): -4.546
Energy above the lowest structure with this stoichiometry (eV/atom): 0.047

No. 6
A relaxed structure of KNbTePdI, computed with PBE-GGA. Values from VASP.

```
&SYSTEM
  ibrav = 0, nat = 5, ntyp = 5
/
ATOMIC_SPECIES
K 39.10 K.upf
Nb 92.91 Nb.upf
Te 127.60 Te.upf
Pd 106.42 Pd.upf
I 126.90 I.upf
ATOMIC_POSITIONS crystal
K 0.838 0.500 0.486
Nb 0.600 0.000 0.009
Te 0.213 0.000 0.233
Pd 0.108 0.500 0.047
I 0.446 0.000 0.706
CELL_PARAMETERS angstrom
3.825 0.000 -0.001
0.000 4.123 0.000
-1.876 0.000 9.240
```

Computed properties:
Total energy (eV/atom): -4.567
Energy above the lowest structure with this stoichiometry (eV/atom): 0.026

No. 7
A relaxed structure of KNbTePdI, computed with PBE-GGA. Values from VASP.

```
&SYSTEM
  ibrav = 0, nat = 10, ntyp = 5
/
ATOMIC_SPECIES
K 39.10 K.upf
Nb 92.91 Nb.upf
Te 127.60 Te.upf
Pd 106.42 Pd.upf
I 126.90 I.upf
ATOMIC_POSITIONS crystal
K 0.531 0.000 0.834
K 0.531 0.500 0.334
Nb 0.013 0.000 0.912
Nb 0.013 0.500 0.412
Te 0.797 0.000 0.230
Te 0.797 0.500 0.730
Pd 0.920 0.000 0.576
Pd 0.920 0.500 0.076
I 0.258 0.000 0.437
I 0.258 0.500 0.937
CELL_PARAMETERS angstrom
-2.747 -3.963 7.870
-0.185 -3.535 -1.845
8.466 -0.239 -0.389
```

Computed properties:
Total energy (eV/atom): -4.581
Energy above the lowest structure with this stoichiometry (eV/atom): 0.012

No. 8
A relaxed structure of KNbTePdI, computed with PBE-GGA. Values from VASP.

```
&SYSTEM
  ibrav = 0, nat = 15, ntyp = 5
/
ATOMIC_SPECIES
I 126.90 I.upf
K 39.10 K.upf
Te 127.60 Te.upf
Nb 92.91 Nb.upf
Pd 106.42 Pd.upf
ATOMIC_POSITIONS crystal
I 0.000 0.000 0.822
I 0.333 0.667 0.488
I 0.667 0.333 0.155
K 0.000 0.000 0.570
K 0.333 0.667 0.237
K 0.667 0.333 0.904
Te 0.000 0.000 0.993
Te 0.333 0.667 0.660
Te 0.667 0.333 0.327
Nb 0.000 0.000 0.722
Nb 0.333 0.667 0.388
Nb 0.667 0.333 0.055
Pd 0.000 0.000 0.366
Pd 0.333 0.667 0.033
Pd 0.667 0.333 0.700
CELL_PARAMETERS angstrom
4.450 0.000 0.000
-2.225 3.854 0.000
0.000 0.000 27.718
```

Computed properties:
Total energy (eV/atom): -4.590
Energy above the lowest structure with this stoichiometry (eV/atom): 0.003

no.,total magnetic moment (Bohr magnetons per cell)
1,0.9
2,0.0
3,1.6
4,1.0
5,0.4
6,0.0
7,1.6
8,3.0